No. 1
The following is a GGA-PBE calculation of a relaxed structure of ZnHgP4, from Alexandria via LeMat-Bulk.

Cell: 6.4528 6.4528 6.4528 Å, 60.00 60.00 60.00°
Last column: nearest neighbours and their distance in Å.
Atoms (fractional coordinates):
Zn  0.0000  0.0000  0.0000  12 P 3.73, 4 Hg 3.95
Hg  0.7500  0.7500  0.7500  12 P 3.94, 4 Zn 3.95
P  0.3354  0.3354  0.3354  3 P 2.20
P  0.3354  0.3354  0.9939  3 P 2.20
P  0.3354  0.9939  0.3354  3 P 2.20
P  0.9939  0.3354  0.3354  3 P 2.20

Computed properties:
Magnetic moment = 0.00 μB/atom
Density of states at the Fermi level = 0.000 states/eV/cell
Formation energy from the elements = 0.27 eV/atom
Theoretical density = 3.408 g/cm3
Calculated total energy = -3.604 eV per atom

No. 2
The following is a GGA-PBE calculation of a relaxed structure of ZnHgP2, from Alexandria via LeMat-Bulk.

Cell: 2.9600 2.9600 30.5198 Å, 90.00 90.00 120.00°
Last column: nearest neighbours and their distance in Å.
Atoms (fractional coordinates):
Zn  0.0000  0.0000  0.0000  6 P 2.55
Zn  0.3333  0.6667  0.6667  6 P 2.55
Zn  0.6667  0.3333  0.3333  6 P 2.55
Hg  0.0000  0.0000  0.5000  6 Hg 2.96
Hg  0.3333  0.6667  0.1667  6 Hg 2.96
Hg  0.6667  0.3333  0.8333  6 Hg 2.96
P  0.0000  0.0000  0.2711  3 Zn 2.55
P  0.0000  0.0000  0.7289  3 Zn 2.55
P  0.3333  0.6667  0.3956  3 Zn 2.55
P  0.3333  0.6667  0.9378  3 Zn 2.55
P  0.6667  0.3333  0.0622  3 Zn 2.55
P  0.6667  0.3333  0.6044  3 Zn 2.55

Computed properties:
Magnetic moment = 0.00 μB/atom
Density of states at the Fermi level = 4.212 states/eV/cell
Formation energy from the elements = 0.44 eV/atom
Theoretical density = 7.055 g/cm3
Energy above the most stable polymorph in this dataset = 0.379 eV per atom
Calculated total energy = -2.658 eV per atom

No. 3
The following is a GGA-PBE calculation of a relaxed structure of ZnHgP2, from Alexandria via LeMat-Bulk.

Cell: 3.6139 3.6139 12.0257 Å, 90.00 90.00 90.00°
Last column: nearest neighbours and their distance in Å.
Atoms (fractional coordinates):
Zn  0.0000  0.0000  0.0000  4 Hg 2.56
Zn  0.5000  0.5000  0.5000  4 Hg 2.56
Hg  0.0000  0.0000  0.5000  4 Zn 2.56
Hg  0.5000  0.5000  0.0000  4 Zn 2.56
P  0.0000  0.5000  0.2500  4 P 2.56
P  0.0000  0.5000  0.7500  4 P 2.56
P  0.5000  0.0000  0.2500  4 P 2.56
P  0.5000  0.0000  0.7500  4 P 2.56

Computed properties:
Magnetic moment = 0.00 μB/atom
Density of states at the Fermi level = 3.800 states/eV/cell
Formation energy from the elements = 0.50 eV/atom
Theoretical density = 6.935 g/cm3
Energy above the most stable polymorph in this dataset = 0.439 eV per atom
Calculated total energy = -2.599 eV per atom

No. 4
The following is a GGA-PBE calculation of a relaxed structure of ZnHgP2, from Alexandria via LeMat-Bulk.

Cell: 3.1986 3.6596 13.7408 Å, 90.00 90.00 90.00°
Last column: nearest neighbours and their distance in Å.
Atoms (fractional coordinates):
Zn  0.0000  0.0000  0.0000  4 P 2.70, 2 Hg 2.83
Zn  0.5000  0.5000  0.5000  4 P 2.70, 2 Hg 2.83
Hg  0.0000  0.5000  0.8428  2 Zn 2.83, 4 P 3.17
Hg  0.5000  0.0000  0.3428  2 Zn 2.83, 4 P 3.17
P  0.0000  0.0000  0.5854  2 P 2.20
P  0.0000  0.5000  0.1952  2 P 2.20
P  0.5000  0.0000  0.6952  2 P 2.20
P  0.5000  0.5000  0.0854  2 P 2.20

Computed properties:
Magnetic moment = 0.00 μB/atom
Density of states at the Fermi level = 2.510 states/eV/cell
Formation energy from the elements = 0.20 eV/atom
Theoretical density = 6.772 g/cm3
Energy above the most stable polymorph in this dataset = 0.138 eV per atom
Calculated total energy = -2.899 eV per atom

No. 5
The following is a GGA-PBE calculation of a relaxed structure of ZnHgP2, from Alexandria via LeMat-Bulk.

Cell: 5.1238 7.6238 3.8137 Å, 90.00 90.00 90.00°
Last column: nearest neighbours and their distance in Å.
Atoms (fractional coordinates):
Zn  0.0000  0.0000  0.0000  2 Hg 2.56
Zn  0.5000  0.5000  0.0000  2 Hg 2.56
Hg  0.0000  0.5000  0.0000  2 Zn 2.56
Hg  0.5000  0.0000  0.0000  2 Zn 2.56
P  0.2500  0.2500  0.5000  2 P 2.56
P  0.2500  0.7500  0.5000  2 P 2.56
P  0.7500  0.2500  0.5000  2 P 2.56
P  0.7500  0.7500  0.5000  2 P 2.56

Computed properties:
Magnetic moment = 0.00 μB/atom
Density of states at the Fermi level = 4.843 states/eV/cell
Formation energy from the elements = 0.55 eV/atom
Theoretical density = 7.311 g/cm3
Energy above the most stable polymorph in this dataset = 0.487 eV per atom
Calculated total energy = -2.551 eV per atom

No. 6
The following is a GGA-PBE calculation of a relaxed structure of ZnHgP, from Alexandria via LeMat-Bulk.

Cell: 2.9911 2.9911 13.1811 Å, 90.00 90.00 90.00°
Last column: nearest neighbours and their distance in Å.
Atoms (fractional coordinates):
Zn  0.0000  0.0000  0.0000  4 P 2.59
Zn  0.5000  0.5000  0.5000  4 P 2.59
Hg  0.0000  0.0000  0.3250  4 Hg 2.99, 4 Zn 3.13
Hg  0.5000  0.5000  0.8250  4 Hg 2.99, 4 Zn 3.13
P  0.0000  0.0000  0.6140  4 Zn 2.59
P  0.5000  0.5000  0.1140  4 Zn 2.59

Computed properties:
Magnetic moment = 0.00 μB/atom
Density of states at the Fermi level = 2.176 states/eV/cell
Formation energy from the elements = 0.37 eV/atom
Theoretical density = 8.363 g/cm3
Energy above the most stable polymorph in this dataset = 0.215 eV per atom
Calculated total energy = -1.957 eV per atom

No. 7
The following is a GGA-PBE calculation of a relaxed structure of Zn2HgP, from Alexandria via LeMat-Bulk.

Cell: 3.8515 3.8515 18.2676 Å, 90.00 90.00 120.00°
Last column: nearest neighbours and their distance in Å.
Atoms (fractional coordinates):
Zn  0.0000  0.0000  0.2278  3 P 2.49
Zn  0.0000  0.0000  0.7722  3 P 2.49
Zn  0.3333  0.6667  0.4389  3 P 2.49
Zn  0.3333  0.6667  0.8944  3 P 2.49
Zn  0.6667  0.3333  0.1056  3 P 2.49
Zn  0.6667  0.3333  0.5611  3 P 2.49
Hg  0.0000  0.0000  0.0000  6 Zn 2.94
Hg  0.3333  0.6667  0.6667  6 Zn 2.94
Hg  0.6667  0.3333  0.3333  6 Zn 2.94
P  0.0000  0.0000  0.5000  6 Zn 2.49
P  0.3333  0.6667  0.1667  6 Zn 2.49
P  0.6667  0.3333  0.8333  6 Zn 2.49

Computed properties:
Magnetic moment = 0.00 μB/atom
Density of states at the Fermi level = 3.276 states/eV/cell
Formation energy from the elements = 0.03 eV/atom
Theoretical density = 7.692 g/cm3
Calculated total energy = -2.034 eV per atom

No. 8
The following is a GGA-PBE calculation of a relaxed structure of ZnHg2P, from Alexandria via LeMat-Bulk.

Cell: 6.0981 6.0981 12.1706 Å, 90.00 90.00 90.00°
Last column: nearest neighbours and their distance in Å.
Atoms (fractional coordinates):
Zn  0.0000  0.0000  0.0000  4 Hg 2.76
Zn  0.0000  0.5000  0.2500  4 Hg 2.76
Zn  0.5000  0.0000  0.7500  4 Hg 2.76
Zn  0.5000  0.5000  0.5000  4 Hg 2.76
Hg  0.2171  0.2500  0.6250  2 P 2.53, 2 Zn 2.76
Hg  0.2500  0.7171  0.8750  2 P 2.53, 2 Zn 2.76
Hg  0.2500  0.7829  0.3750  2 P 2.53, 2 Zn 2.76
Hg  0.2829  0.2500  0.1250  2 P 2.53, 2 Zn 2.76
Hg  0.7171  0.7500  0.1250  2 P 2.53, 2 Zn 2.76
Hg  0.7500  0.2171  0.3750  2 P 2.53, 2 Zn 2.76
Hg  0.7500  0.2829  0.8750  2 P 2.53, 2 Zn 2.76
Hg  0.7829  0.7500  0.6250  2 P 2.53, 2 Zn 2.76
P  0.0000  0.0000  0.5000  4 Hg 2.53
P  0.0000  0.5000  0.7500  4 Hg 2.53
P  0.5000  0.0000  0.2500  4 Hg 2.53
P  0.5000  0.5000  0.0000  4 Hg 2.53

Computed properties:
Magnetic moment = 0.00 μB/atom
Density of states at the Fermi level = 8.888 states/eV/cell
Formation energy from the elements = 0.36 eV/atom
Theoretical density = 7.302 g/cm3
Energy above the most stable polymorph in this dataset = 0.323 eV per atom
Calculated total energy = -1.458 eV per atom

No. 9
The following is a GGA-PBE calculation of a relaxed structure of ZnHgP2, from Alexandria via LeMat-Bulk.

Cell: 3.6080 3.6080 6.0175 Å, 90.00 90.00 90.00°
Last column: nearest neighbours and their distance in Å.
Atoms (fractional coordinates):
Zn  0.0000  0.0000  0.0000  4 Hg 2.55
Hg  0.5000  0.5000  0.0000  4 Zn 2.55
P  0.0000  0.5000  0.5000  4 P 2.55
P  0.5000  0.0000  0.5000  4 P 2.55

Computed properties:
Magnetic moment = 0.00 μB/atom
Density of states at the Fermi level = 2.951 states/eV/cell
Formation energy from the elements = 0.51 eV/atom
Theoretical density = 6.952 g/cm3
Energy above the most stable polymorph in this dataset = 0.450 eV per atom
Calculated total energy = -2.587 eV per atom

No. 10
The following is a GGA-PBE calculation of a relaxed structure of Zr2HgP, from Alexandria via LeMat-Bulk.

Cell: 6.9246 6.9246 6.9246 Å, 90.00 90.00 90.00°
Last column: nearest neighbours and their distance in Å.
Atoms (fractional coordinates):
Zr  0.0000  0.0000  0.0000  4 Zr 3.00, 4 P 3.00
Zr  0.0000  0.5000  0.5000  4 Zr 3.00, 4 P 3.00
Zr  0.2500  0.2500  0.2500  4 Hg 3.00, 4 Zr 3.00
Zr  0.2500  0.7500  0.7500  4 Hg 3.00, 4 Zr 3.00
Zr  0.5000  0.0000  0.5000  4 Zr 3.00, 4 P 3.00
Zr  0.5000  0.5000  0.0000  4 Zr 3.00, 4 P 3.00
Zr  0.7500  0.2500  0.7500  4 Hg 3.00, 4 Zr 3.00
Zr  0.7500  0.7500  0.2500  4 Hg 3.00, 4 Zr 3.00
Hg  0.0000  0.0000  0.5000  4 Zr 3.00, 4 P 3.00
Hg  0.0000  0.5000  0.0000  4 Zr 3.00, 4 P 3.00
Hg  0.5000  0.0000  0.0000  4 Zr 3.00, 4 P 3.00
Hg  0.5000  0.5000  0.5000  4 Zr 3.00, 4 P 3.00
P  0.2500  0.2500  0.7500  4 Hg 3.00, 4 Zr 3.00
P  0.2500  0.7500  0.2500  4 Hg 3.00, 4 Zr 3.00
P  0.7500  0.2500  0.2500  4 Hg 3.00, 4 Zr 3.00
P  0.7500  0.7500  0.7500  4 Hg 3.00, 4 Zr 3.00

Computed properties:
Magnetic moment = 0.42 μB/atom
Density of states at the Fermi level = 16.716 states/eV/cell
Formation energy from the elements = 0.31 eV/atom
Theoretical density = 8.282 g/cm3
Energy above the most stable polymorph in this dataset = 1.105 eV per atom
Calculated total energy = -5.395 eV per atom

No. 11
The following is a GGA-PBE calculation of a relaxed structure of Zr2HgP, from Alexandria via LeMat-Bulk.

Cell: 6.3469 3.6275 7.6516 Å, 90.00 105.45 90.00°
Last column: nearest neighbours and their distance in Å.
Atoms (fractional coordinates):
Zr  0.2313  0.0000  0.1981  3 P 2.56-2.57
Zr  0.2687  0.5000  0.8019  3 P 2.56-2.57
Zr  0.7313  0.5000  0.1981  3 P 2.56-2.57
Zr  0.7687  0.0000  0.8019  3 P 2.56-2.57
Hg  0.0000  0.0000  0.5000  6 Zr 3.05-3.07
Hg  0.5000  0.5000  0.5000  6 Zr 3.05-3.07
P  0.0000  0.5000  0.0000  6 Zr 2.56-2.57
P  0.5000  0.0000  0.0000  6 Zr 2.56-2.57

Computed properties:
Magnetic moment = 0.00 μB/atom
Density of states at the Fermi level = 6.322 states/eV/cell
Formation energy from the elements = -0.80 eV/atom
Theoretical density = 8.097 g/cm3
Energy above the most stable polymorph in this dataset = 0.000 eV per atom
Calculated total energy = -6.500 eV per atom

No. 12
The following is a GGA-PBE calculation of a relaxed structure of ZrHg2P, from Alexandria via LeMat-Bulk.

Cell: 5.4373 10.0705 3.1893 Å, 90.00 104.40 90.00°
Last column: nearest neighbours and their distance in Å.
Atoms (fractional coordinates):
Zr  0.0000  0.0000  0.0000  2 P 2.72
Zr  0.5000  0.5000  0.0000  2 P 2.72
Hg  0.2500  0.2500  0.5000  2 Hg 2.72
Hg  0.2500  0.7500  0.5000  2 Hg 2.72
Hg  0.7500  0.2500  0.5000  2 Hg 2.72
Hg  0.7500  0.7500  0.5000  2 Hg 2.72
P  0.0000  0.5000  0.0000  2 Zr 2.72
P  0.5000  0.0000  0.0000  2 Zr 2.72

Computed properties:
Magnetic moment = 0.00 μB/atom
Density of states at the Fermi level = 3.730 states/eV/cell
Formation energy from the elements = 0.03 eV/atom
Theoretical density = 10.276 g/cm3
Calculated total energy = -3.608 eV per atom